AcNpCr2O8, relaxed, DFT GGA+U; D(E_F) = 4.37 states/eV per cell; calculated total energy = -8.325 eV/atom; space-group type = No. 2
1.0
-1.611 -3.090 3.534
-1.706 -3.689 -2.910
5.943 -4.310 0.288
Ac Np Cr O
1 1 2 8
Cartesian
2.971 -2.155 0.144 Ac
0.000 0.000 0.000 Np
2.705 -6.170 0.489 Cr
-0.079 -4.919 0.422 Cr
-0.395 -4.542 -1.469 O
-2.079 -5.334 0.457 O
-0.376 -4.232 2.229 O
3.021 -6.547 2.381 O
4.705 -5.755 0.454 O
3.002 -6.857 -1.317 O
0.763 -6.646 0.521 O
1.863 -4.443 0.391 O